# 1
DFT (PBE) results for Cs2Na4P after structural relaxation.

## Properties
space group: I4/mmm, No. 139

Structure (POSCAR):
```
Cs2Na4P
1.0
-2.8086 2.8086 12.4987
2.8086 -2.8086 12.4987
2.8086 2.8086 -12.4987
Cs Na P
2 4 1
direct
0.1814 0.1814 0.0000
0.8186 0.8186 0.0000
0.0000 0.5000 0.5000
0.3909 0.3909 0.0000
0.5000 0.0000 0.5000
0.6091 0.6091 0.0000
0.5000 0.5000 0.0000
```



# 2
DFT (PBE) results for CsNa3P after structural relaxation.

## Properties
E above lowest polymorph: 0.000 eV/atom
space group: Pm-3m, No. 221

Structure (POSCAR):
```
CsNa3P
1.0
5.7404 0.0000 0.0000
0.0000 5.7404 0.0000
0.0000 0.0000 5.7404
Cs Na P
1 3 1
direct
0.0000 0.0000 0.0000
0.0000 0.5000 0.5000
0.5000 0.0000 0.5000
0.5000 0.5000 0.0000
0.5000 0.5000 0.5000
```



# 3
DFT (PBE) results for Cs2NaP2 after structural relaxation.

## Properties
space group: C2/c, No. 15

Structure (POSCAR):
```
Cs2NaP2
1.0
5.5102 -3.6576 0.0000
5.5102 3.6576 0.0000
-1.4639 0.0000 8.8333
Cs Na P
4 2 4
direct
0.0028 0.7105 0.8680
0.2895 0.9972 0.6320
0.7105 0.0028 0.3680
0.9972 0.2895 0.1320
0.4420 0.5580 0.2500
0.5580 0.4420 0.7500
0.1547 0.5172 0.4924
0.4828 0.8453 0.0076
0.5172 0.1547 0.9924
0.8453 0.4828 0.5076
```



# 4
DFT (PBE) results for Cs3NaP after structural relaxation.

## Properties
E above lowest polymorph: 0.000 eV/atom
space group: Pm-3m, No. 221

Structure (POSCAR):
```
Cs3NaP
1.0
7.0114 0.0000 0.0000
0.0000 7.0114 0.0000
0.0000 0.0000 7.0114
Cs Na P
3 1 1
direct
0.0000 0.0000 0.5000
0.0000 0.5000 0.0000
0.5000 0.0000 0.0000
0.5000 0.5000 0.5000
0.0000 0.0000 0.0000
```



# 5
DFT (PBE) results for CsNa2P2 after structural relaxation.

## Properties
E above lowest polymorph: 0.147 eV/atom
space group: P2_1/m, No. 11

Structure (POSCAR):
```
CsNa2P2
1.0
5.5034 0.0000 0.0000
0.0000 3.7712 0.0000
-1.6348 0.0000 13.2678
Cs Na P
2 4 4
direct
0.1776 0.2500 0.2542
0.8224 0.7500 0.7458
0.2468 0.7500 0.4874
0.3544 0.2500 0.8713
0.6456 0.7500 0.1287
0.7532 0.2500 0.5126
0.1163 0.7500 0.0139
0.2914 0.2500 0.6497
0.7086 0.7500 0.3503
0.8837 0.2500 0.9861
```



# 6
DFT (PBE) results for Cs2NaP after structural relaxation.

## Properties
space group: Cm, No. 8

Structure (POSCAR):
```
Cs2NaP
1.0
4.4407 -2.5650 0.0000
4.4407 2.5650 0.0000
-2.9519 0.0000 8.5895
Cs Na P
2 1 1
direct
0.0000 0.0000 0.0000
0.1648 0.1648 0.4953
0.7489 0.7489 0.2477
0.4155 0.4155 0.2474
```



# 7
DFT (PBE) results for Cs2NaP after structural relaxation.

## Properties
space group: Fm-3m, No. 225

Structure (POSCAR):
```
Cs2NaP
1.0
0.0000 4.3055 4.3055
4.3055 0.0000 4.3055
4.3055 4.3055 0.0000
Cs Na P
2 1 1
direct
0.2500 0.2500 0.2500
0.7500 0.7500 0.7500
0.0000 0.0000 0.0000
0.5000 0.5000 0.5000
```



# 8
DFT (PBE) results for CsNaPPd after structural relaxation.

## Properties
space group: R3m, No. 160

Structure (POSCAR):
```
CsNaPPd
1.0
2.1316 1.2307 7.6038
-2.1316 1.2307 7.6038
0.0000 -2.4614 7.6038
Cs Na P Pd
1 1 1 1
direct
0.0000 0.0000 0.0000
0.8209 0.8209 0.8209
0.2220 0.2220 0.2220
0.5543 0.5543 0.5543
```



Computed values of energy of formation (unit: eV/atom) for the preceding records, in sequence: -0.09 -0.15 -0.26 0.01 -0.17 -0.22 0.07 -0.30.
Computed values of magnetization (unit: μB/f.u.) for the preceding records, in sequence: 0.000 0.000 0.951 1.000 0.000 0.000 0.000 0.000.